No. 1
A relaxed Li2HoIn4 crystal. Source: Alexandria, functional PBE.

The calculation puts the final energy at -2.712 eV/atom. The formation energy is 0.05 eV/atom. As for the crystal system: tetragonal.

It has space group I4/mmm (No. 139), with a = 5.797 Å, b = 5.797 Å, c = 11.579 Å, α = 90.00°, β = 90.00° and γ = 90.00°. The asymmetric unit holds Li at (0.000, 0.000, 0.132), Ho at (0.000, 0.000, 0.500), In at (0.000, 0.500, 0.000) and In at (0.000, 0.500, 0.250).


No. 2
A relaxed CaTiSn2O crystal. Source: Alexandria, functional PBE.

The calculation puts the final energy at -3.082 eV/atom. The calculation puts the uncorrected formation energy at 7.45 eV per formula unit. As for the crystal system: tetragonal.

It has space group P4/mmm (No. 123), with a = 5.650 Å, b = 5.650 Å, c = 4.765 Å, α = 90.00°, β = 90.00° and γ = 90.00°. The asymmetric unit holds Ca at (0.000, 0.000, 0.000), Ti at (0.000, 0.000, 0.500), Sn at (0.000, 0.500, 0.000) and O at (0.500, 0.500, 0.500).


No. 3
A relaxed Sr4CaTl5 crystal. Source: Alexandria, functional PBE.

The calculation puts the final energy at -2.487 eV/atom. The formation energy is -0.43 eV/atom. As for the crystal system: tetragonal.

It has space group P4/mmm (No. 123), with a = 4.057 Å, b = 4.057 Å, c = 20.301 Å, α = 90.00°, β = 90.00° and γ = 90.00°. The asymmetric unit holds Sr at (0.000, 0.000, 0.102), Sr at (0.000, 0.000, 0.306), Ca at (0.000, 0.000, 0.500), Tl at (0.500, 0.500, 0.000), Tl at (0.500, 0.500, 0.203) and Tl at (0.500, 0.500, 0.410).


No. 4
A relaxed NbMoRu crystal. Source: Alexandria, functional PBE.

The calculation puts the final energy at -10.109 eV/atom. The formation energy is -0.05 eV/atom. The polymorph energy (0 for the lowest one) is 0.0446 eV per atom. As for the crystal system: monoclinic.

It has space group Cm (No. 8), with a = 9.538 Å, b = 4.478 Å, c = 5.488 Å, α = 90.00°, β = 124.99° and γ = 90.00°. The asymmetric unit holds Nb at (0.000, 0.000, 0.000), Nb at (0.165, 0.500, 0.816), Mo at (0.325, 0.000, 0.169), Mo at (0.493, 0.500, 0.489), Ru at (0.154, 0.500, 0.309) and Ru at (0.344, 0.000, 0.684).


No. 5
A relaxed BeZn2Cd crystal. Source: Alexandria, functional PBE.

The calculation puts the final energy at -1.506 eV/atom. The formation energy is 0.29 eV/atom. The polymorph energy (0 for the lowest one) is 0.1399 eV per atom. As for the crystal system: tetragonal.

It has space group I4/mmm (No. 139), with a = 3.886 Å, b = 3.886 Å, c = 8.048 Å, α = 90.00°, β = 90.00° and γ = 90.00°. The asymmetric unit holds Be at (0.000, 0.000, 0.000), Zn at (0.000, 0.500, 0.250) and Cd at (0.000, 0.000, 0.500).


No. 6
A relaxed Fe2HgSe crystal. Source: Alexandria, functional PBE.

The calculation puts the final energy at -4.815 eV/atom. The calculation puts the uncorrected formation energy at 1.45 eV per formula unit. As for the crystal system: trigonal.

It has space group R-3m (No. 166, hexagonal axes), with a = 3.0563 Å, b = 3.0563 Å, c = 23.9939 Å, α = 90.00°, β = 90.00° and γ = 120.00°. The asymmetric unit holds Fe at (0.0000, 0.0000, 0.2414), Hg at (0.0000, 0.0000, 0.0000) and Se at (0.0000, 0.0000, 0.5000).


No. 7
A relaxed CaSbH3 crystal. Source: Alexandria, functional PBE.

The calculation puts the final energy at -2.973 eV/atom. The polymorph energy (0 for the lowest one) is 0.0000 eV per atom. As for the crystal system: cubic.

It has space group Pm-3m (No. 221), with a = 4.116 Å, b = 4.116 Å, c = 4.116 Å, α = 90.00°, β = 90.00° and γ = 90.00°. The asymmetric unit holds Ca at (0.000, 0.000, 0.000), Sb at (0.500, 0.500, 0.500) and H at (0.000, 0.000, 0.500).


No. 8
A relaxed Ba6BrN3 crystal. Source: Alexandria, functional PBE.

The calculation puts the final energy at -4.487 eV/atom. The calculation puts the uncorrected formation energy at -6.68 eV per formula unit. As for the crystal system: monoclinic.

It has space group P2_1/m (No. 11), with a = 11.440 Å, b = 4.051 Å, c = 15.084 Å, α = 90.00°, β = 106.87° and γ = 90.00°. The asymmetric unit holds Ba at (0.015, 0.250, 0.266), Ba at (0.130, 0.750, 0.571), Ba at (0.192, 0.750, 0.114), Ba at (0.297, 0.750, 0.378), Ba at (0.355, 0.250, 0.951), Ba at (0.483, 0.250, 0.216), Br at (0.389, 0.250, 0.579), N at (0.035, 0.750, 0.392), N at (0.254, 0.250, 0.250) and N at (0.419, 0.750, 0.084).


No. 9
A relaxed Gd2HoSc crystal. Source: Alexandria, functional PBE.

The calculation puts the final energy at -9.716 eV/atom. The formation energy is 0.05 eV/atom. The polymorph energy (0 for the lowest one) is 0.0033 eV per atom. As for the crystal system: trigonal.

It has space group R-3m (No. 166, hexagonal axes), with a = 3.4941 Å, b = 3.4941 Å, c = 33.8025 Å, α = 90.00°, β = 90.00° and γ = 120.00°. The asymmetric unit holds Gd at (0.0000, 0.0000, 0.2470), Ho at (0.0000, 0.0000, 0.0000) and Sc at (0.0000, 0.0000, 0.5000).


No. 10
A relaxed ZrTl2P crystal. Source: Alexandria, functional PBE.

The calculation puts the final energy at -4.569 eV/atom. The formation energy is 0.10 eV/atom. As for the crystal system: tetragonal.

It has space group I-4m2 (No. 119), with a = 4.406 Å, b = 4.406 Å, c = 9.139 Å, α = 90.00°, β = 90.00° and γ = 90.00°. The asymmetric unit holds Zr at (0.000, 0.000, 0.000), Tl at (0.000, 0.000, 0.500), Tl at (0.000, 0.500, 0.250) and P at (0.000, 0.500, 0.750).


No. 11
A relaxed Nd7HoTm3 crystal. Source: Alexandria, functional PBE.

The calculation puts the final energy at -4.442 eV/atom. The formation energy is 0.23 eV/atom. The polymorph energy (0 for the lowest one) is 0.0443 eV per atom. As for the crystal system: monoclinic.

It has space group C2/m (No. 12), with a = 12.759 Å, b = 11.394 Å, c = 5.890 Å, α = 90.00°, β = 117.44° and γ = 90.00°. The asymmetric unit holds Nd at (0.000, 0.000, 0.000), Nd at (0.191, 0.289, 0.691), Nd at (0.208, 0.500, 0.207), Ho at (0.000, 0.000, 0.500), Tm at (0.000, 0.295, 0.000) and Tm at (0.000, 0.500, 0.500).


No. 12
A relaxed RbNbSb2 crystal. Source: Alexandria, functional PBE.

The calculation puts the final energy at -4.980 eV/atom. The polymorph energy (0 for the lowest one) is 0.0000 eV per atom. The calculation puts the uncorrected formation energy at -0.64 eV per formula unit. As for the crystal system: trigonal.

It has space group R-3m (No. 166, hexagonal axes), with a = 3.6980 Å, b = 3.6980 Å, c = 29.2054 Å, α = 90.00°, β = 90.00° and γ = 120.00°. The asymmetric unit holds Rb at (0.0000, 0.0000, 0.0000), Nb at (0.0000, 0.0000, 0.5000) and Sb at (0.0000, 0.0000, 0.2318).